1.
Rb4FeBr7: optimized geometry, PBE-GGA.

Computed properties:
final energy	-3.163	eV per atom
symmetry	C2/m, No. 12
ΔE_f (raw)	-1.159	eV/atom

POSCAR file:
```
Rb4FeBr7
1.0
9.2606 -2.6650 0.0000
9.2606 2.6650 0.0000
-8.0415 0.0000 10.1832
Rb Fe Br
4 1 7
Cartesian
-0.2499 0.0000 2.6467 Rb
-2.6233 0.0000 8.5551 Rb
13.1030 0.0000 1.6280 Rb
10.7297 0.0000 7.5365 Rb
5.2399 0.0000 5.0916 Fe
-4.0207 0.0000 5.0916 Br
2.3865 0.0000 0.1270 Br
-0.2062 0.0000 6.2205 Br
6.0777 0.0000 2.9146 Br
4.4020 0.0000 7.2686 Br
10.6859 0.0000 3.9627 Br
8.0933 0.0000 10.0562 Br
```

***

2.
Rb2FeBr5: optimized geometry, PBE-GGA.

Computed properties:
final energy	-3.483	eV per atom
symmetry	P2_1/c, No. 14
ΔE_f (raw)	-1.138	eV/atom

POSCAR file:
```
Rb2FeBr5
1.0
13.6755 0.0000 0.0000
0.0000 10.3236 0.0000
-3.6003 0.0000 9.8679
Rb Fe Br
8 4 20
Cartesian
-0.5230 1.3106 2.0623 Rb
-2.3231 3.8512 6.9962 Rb
4.8228 1.4970 0.5001 Rb
3.0227 3.6648 5.4341 Rb
7.0526 6.6587 4.4338 Rb
5.2525 8.8266 9.3678 Rb
12.3984 6.4723 2.8717 Rb
10.5982 9.0130 7.8056 Rb
4.0544 5.9245 0.2482 Fe
2.2543 9.5608 5.1821 Fe
7.8210 0.7627 4.6858 Fe
6.0208 4.3991 9.6197 Fe
-1.9111 1.4435 9.3211 Br
-0.1110 3.7182 4.3871 Br
1.7363 6.2895 0.1607 Br
-0.0638 9.1958 5.0947 Br
2.8635 0.6557 3.3869 Br
1.0634 4.5061 8.3209 Br
3.4082 7.5214 5.0172 Br
5.2083 7.9640 0.0833 Br
2.8424 0.3845 7.1839 Br
4.6425 4.7773 2.2499 Br
5.4327 5.5463 7.6180 Br
7.2329 9.9390 2.6840 Br
4.8669 2.3596 9.7846 Br
6.6670 2.8022 4.8507 Br
9.0119 5.8175 1.5470 Br
7.2117 9.6679 6.4810 Br
10.1390 1.1278 4.7732 Br
8.3389 4.0340 9.7072 Br
10.1862 6.6053 5.4808 Br
11.9864 8.8800 0.5468 Br
```

***

3.
RbFe3Br9: optimized geometry, PBE-GGA.

Computed properties:
final energy	-3.849	eV per atom
symmetry	C222_1, No. 20
ΔE_f (raw)	-0.663	eV/atom

POSCAR file:
```
RbFe3Br9
1.0
6.2243 -8.2339 0.0000
6.2243 8.2339 0.0000
0.0000 0.0000 10.8371
Rb Fe Br
2 6 18
Cartesian
1.3352 0.0000 0.0000 Rb
11.1134 0.0000 5.4185 Rb
3.1153 0.0000 5.4185 Fe
6.1091 2.6506 10.2494 Fe
6.3394 2.6506 6.0062 Fe
6.1091 -2.6506 0.5876 Fe
6.3394 -2.6506 4.8309 Fe
9.3333 0.0000 0.0000 Fe
1.7921 0.6920 7.2314 Br
1.7921 -0.6920 3.6057 Br
6.0649 4.9347 6.2351 Br
4.1550 2.0852 0.5302 Br
6.3837 4.9347 10.0206 Br
4.4301 1.8997 4.6147 Br
6.2243 1.3909 8.1278 Br
4.1550 -2.0852 10.3069 Br
4.4301 -1.8997 6.2224 Br
8.0185 1.8997 0.8039 Br
8.2936 2.0852 4.8884 Br
6.2243 -1.3909 2.7093 Br
8.0185 -1.8997 10.0332 Br
6.0649 -4.9347 4.6020 Br
8.2936 -2.0852 5.9487 Br
6.3837 -4.9347 0.8165 Br
10.6565 0.6920 9.0243 Br
10.6565 -0.6920 1.8128 Br
```

***

4.
Rb3Fe2Br8: optimized geometry, PBE-GGA.

Computed properties:
final energy	-3.657	eV per atom
symmetry	R-3m, No. 166
ΔE_f (raw)	-1.102	eV/atom

POSCAR file:
```
Rb3Fe2Br8
1.0
3.8337 2.2134 9.6573
-3.8337 2.2134 9.6573
0.0000 -4.4268 9.6573
Rb Fe Br
3 2 8
Cartesian
0.0000 0.0000 0.0000 Rb
0.0000 0.0000 6.0113 Rb
0.0000 0.0000 22.9606 Rb
0.0000 0.0000 11.8162 Fe
0.0000 0.0000 17.1556 Fe
-1.9513 -1.1266 16.3384 Br
0.0000 -2.2531 12.6334 Br
-1.9513 1.1266 12.6334 Br
0.0000 0.0000 9.4386 Br
0.0000 0.0000 19.5332 Br
1.9513 -1.1266 16.3384 Br
0.0000 2.2531 16.3384 Br
1.9513 1.1266 12.6334 Br
```